Here is SmTmMo after structural relaxation from the Alexandria database. Energies are from PBE-GGA.

Cell lengths 3.544, 6.026, 8.106 Å; angles 104.12, 102.63, 90.00 degrees
Fractional positions:
Tm 0.573 0.799 0.145
Tm 0.427 0.201 0.855
Mo 0.765 0.145 0.530
Mo 0.235 0.855 0.470
Sm 0.139 0.333 0.277
Sm 0.861 0.667 0.723

Results
Its space-group type is C2/m (12).

Here is Pu2AgHg12 after structural relaxation from the Alexandria database. Energies are from PBE-GGA.

Cell lengths 6.054, 6.054, 21.822 Å; angles 90.00, 90.00, 90.00 degrees
Last column: magnetic moment on the atom in μB.
Fractional positions:
Hg 0.318 0.182 0.566  0.01
Hg 0.750 0.750 0.908  0.00
Hg 0.000 0.000 0.196  0.02
Hg 0.250 0.250 0.908  0.00
Hg 0.000 0.000 0.666  0.02
Hg 0.500 0.500 0.196  0.02
Hg 0.250 0.750 0.092  0.00
Hg 0.250 0.250 0.092  0.00
Hg 0.250 0.750 0.908  0.00
Hg 0.000 0.000 0.334  0.02
Hg 0.000 0.000 0.804  0.02
Hg 0.500 0.500 0.334  0.02
Hg 0.750 0.750 0.092  0.00
Hg 0.682 0.182 0.434  0.01
Hg 0.182 0.318 0.434  0.01
Hg 0.182 0.682 0.566  0.01
Hg 0.318 0.818 0.434  0.01
Hg 0.682 0.818 0.566  0.01
Hg 0.500 0.500 0.666  0.02
Hg 0.818 0.682 0.434  0.01
Hg 0.500 0.500 0.804  0.02
Hg 0.818 0.318 0.566  0.01
Hg 0.750 0.250 0.092  0.00
Hg 0.750 0.250 0.908  0.00
Pu 0.000 0.500 0.266  5.66
Pu 0.000 0.500 0.734  5.66
Pu 0.500 0.000 0.266  5.66
Pu 0.500 0.000 0.734  5.66
Ag 0.000 0.500 0.000  0.00
Ag 0.500 0.000 0.000  0.00

Results
Its space-group type is P4/nbm (125).

Number 1: V 163.58 Å³/cell, energy of formation from the pure elements 205 meV per atom. Number 2: V 799.83 Å³/cell, energy of formation from the pure elements 67 meV per atom.